A relaxed Y4HgTe2 crystal. Source: Alexandria, functional PBE.

a = 7.2321 Å, b = 7.2321 Å, c = 14.6224 Å
α = 90.00°, β = 90.00°, γ = 146.03°
Fractional coordinates of all 14 atoms:
Y1 0.0000 0.0000 0.0000
Y2 0.0000 0.0000 0.5000
Y3 0.2832 0.7168 0.6309
Y4 0.2832 0.7168 0.8691
Y5 0.4499 0.5501 0.2500
Y6 0.5501 0.4499 0.7500
Y7 0.7168 0.2832 0.1309
Y8 0.7168 0.2832 0.3691
Hg1 0.1091 0.8909 0.2500
Hg2 0.8909 0.1091 0.7500
Te1 0.3590 0.6410 0.0629
Te2 0.3590 0.6410 0.4371
Te3 0.6410 0.3590 0.5629
Te4 0.6410 0.3590 0.9371

formation energy (no corrections)	-0.849	eV/atom
total magnetic moment	0.000	μB/atom